No. 1
# Dy3Tm12Mg, optimized geometry, DFT PBE-GGA
# **Uncorrected energy**: -4.29 eV/atom
data_Dy3Tm12Mg
_cell_length_a 4.9241
_cell_length_b 4.9241
_cell_length_c 19.7433
_cell_angle_alpha 90.00
_cell_angle_beta 90.00
_cell_angle_gamma 90.00
_space_group_name_H-M_alt 'P 4/m m m'
_space_group_IT_number 123
_space_group_name_Hall '-P 4 2'
loop_
_atom_site_label
_atom_site_type_symbol
_atom_site_fract_x
_atom_site_fract_y
_atom_site_fract_z
Dy1 Dy 0.0000 0.0000 0.0000
Dy2 Dy 0.0000 0.0000 0.2513
Tm1 Tm 0.0000 0.5000 0.1262
Tm2 Tm 0.0000 0.5000 0.3768
Tm3 Tm 0.5000 0.5000 0.0000
Tm4 Tm 0.5000 0.5000 0.2543
Tm5 Tm 0.5000 0.5000 0.5000
Mg1 Mg 0.0000 0.0000 0.5000

***

No. 2
# SmEr2RuN4, optimized geometry, DFT PBE-GGA
# **Formation energy without anion corrections**: -102.00 kJ per mole of atoms
data_SmEr2RuN4
_cell_length_a 3.4011
_cell_length_b 11.5626
_cell_length_c 11.5273
_cell_angle_alpha 90.00
_cell_angle_beta 90.00
_cell_angle_gamma 90.00
_space_group_name_H-M_alt 'C m c m'
_space_group_IT_number 63
_space_group_name_Hall '-C 2c 2'
loop_
_atom_site_label
_atom_site_type_symbol
_atom_site_fract_x
_atom_site_fract_y
_atom_site_fract_z
Sm1 Sm 0.0000 0.1237 0.2500
Er1 Er 0.0000 0.3690 0.0421
Ru1 Ru 0.0000 0.1396 0.7500
N1 N 0.0000 0.0000 0.0000
N2 N 0.0000 0.2666 0.6270
N3 N 0.0000 0.4468 0.2500

***

No. 3
# POsRhS2, optimized geometry, DFT PBE-GGA
# **Formation energy without anion corrections**: 96.64 kJ per mole of atoms
data_POsRhS2
_cell_length_a 4.6086
_cell_length_b 4.6086
_cell_length_c 4.5085
_cell_angle_alpha 90.00
_cell_angle_beta 90.00
_cell_angle_gamma 90.00
_space_group_name_H-M_alt 'P 4/m m m'
_space_group_IT_number 123
_space_group_name_Hall '-P 4 2'
loop_
_atom_site_label
_atom_site_type_symbol
_atom_site_fract_x
_atom_site_fract_y
_atom_site_fract_z
P1 P 0.0000 0.0000 0.0000
Os1 Os 0.0000 0.0000 0.5000
Rh1 Rh 0.5000 0.5000 0.0000
S1 S 0.0000 0.5000 0.5000

***

No. 4
# Li2Cu2IO6, optimized geometry, DFT PBE-GGA
# **Formation energy without anion corrections**: -82.37 kJ per mole of atoms
data_Li2Cu2IO6
_cell_length_a 6.0157
_cell_length_b 8.7760
_cell_length_c 5.4454
_cell_angle_alpha 90.00
_cell_angle_beta 118.16
_cell_angle_gamma 90.00
_space_group_name_H-M_alt 'C 1 2/m 1'
_space_group_IT_number 12
loop_
_space_group_symop_operation_xyz
'x,y,z'
'-x,-y,-z'
'-x,y,-z'
'x,-y,z'
'x+1/2,y+1/2,z'
'-x+1/2,-y+1/2,-z'
'-x+1/2,y+1/2,-z'
'x+1/2,-y+1/2,z'
loop_
_atom_site_label
_atom_site_type_symbol
_atom_site_fract_x
_atom_site_fract_y
_atom_site_fract_z
Li1 Li 0.0000 0.2002 0.0000
Cu1 Cu 0.0000 0.3374 0.5000
I1 I 0.0000 0.0000 0.5000
O1 O 0.1827 0.1619 0.7572
O2 O 0.2328 0.0000 0.3407

***

| no. | M_tot (μB/f.u.) |
| --- | --- |
| 1 | 0.0 |
| 2 | 0.0 |
| 3 | 0.8 |
| 4 | 1.0 |